1.
Below is an optimized crystal structure of MnAs2Au, with properties calculated at the PBE level.

Output
Crystal system: tetragonal
Relative energy among the computed polymorphs (meV/atom): 136.3

Cell lengths 3.9361, 3.9361, 9.1371 Å; angles 90.00, 90.00, 90.00 degrees
Last column: nearest neighbours and their distance in Å.
Element x y z (fractional)
1 Mn 0.0000 0.0000 0.0000  8 As 2.78-3.02, 4 Au 3.02
2 Mn 0.5000 0.5000 0.5000  8 As 2.78-3.02, 4 Au 3.02
3 As 0.0000 0.0000 0.5000  4 Mn 2.78, 4 Au 3.02, 4 As 3.02
4 As 0.0000 0.5000 0.7500  4 Au 2.78, 4 Mn 3.02, 4 As 3.02
5 As 0.5000 0.0000 0.2500  4 Au 2.78, 4 As 3.02, 4 Mn 3.02
6 As 0.5000 0.5000 0.0000  4 Mn 2.78, 4 As 3.02, 4 Au 3.02
7 Au 0.0000 0.5000 0.2500  8 As 2.78-3.02, 4 Mn 3.02
8 Au 0.5000 0.0000 0.7500  8 As 2.78-3.02, 4 Mn 3.02

---

2.
Below is an optimized crystal structure of Mn2AsAu, with properties calculated at the PBE level.

Output
E (eV/atom): -6.18
Crystal system: tetragonal

Cell lengths 4.2153, 4.2153, 16.6785 Å; angles 90.00, 90.00, 90.00 degrees
Last column: nearest neighbours and their distance in Å.
Element x y z (fractional)
1 Mn 0.2175 0.2500 0.1250  2 As 2.51, 2 Au 2.62, 2 Mn 2.79
2 Mn 0.2500 0.7175 0.3750  2 As 2.51, 2 Au 2.62, 2 Mn 2.79
3 Mn 0.2500 0.7825 0.8750  2 As 2.51, 2 Au 2.62, 2 Mn 2.79
4 Mn 0.2825 0.2500 0.6250  2 As 2.51, 2 Au 2.62, 2 Mn 2.79
5 Mn 0.7175 0.7500 0.6250  2 As 2.51, 2 Au 2.62, 2 Mn 2.79
6 Mn 0.7500 0.2175 0.8750  2 As 2.51, 2 Au 2.62, 2 Mn 2.79
7 Mn 0.7500 0.2825 0.3750  2 As 2.51, 2 Au 2.62, 2 Mn 2.79
8 Mn 0.7825 0.7500 0.1250  2 As 2.51, 2 Au 2.62, 2 Mn 2.79
9 As 0.0000 0.0000 0.0000  4 Mn 2.51
10 As 0.0000 0.5000 0.2500  4 Mn 2.51
11 As 0.5000 0.0000 0.7500  4 Mn 2.51
12 As 0.5000 0.5000 0.5000  4 Mn 2.51
13 Au 0.0000 0.0000 0.5000  4 Mn 2.62
14 Au 0.0000 0.5000 0.7500  4 Mn 2.62
15 Au 0.5000 0.0000 0.2500  4 Mn 2.62
16 Au 0.5000 0.5000 0.0000  4 Mn 2.62

---

3.
Below is an optimized crystal structure of MnAs2Au, with properties calculated at the PBE level.

Output
Crystal system: monoclinic
Relative energy among the computed polymorphs (meV/atom): 0.0

Cell lengths 8.2967, 3.1167, 6.2429 Å; angles 90.00, 121.24, 90.00 degrees
Last column: nearest neighbours and their distance in Å.
Element x y z (fractional)
1 Mn 0.0000 0.0000 0.0000  5 As 2.38-2.40
2 Mn 0.5000 0.5000 0.0000  5 As 2.38-2.40
3 As 0.3099 0.0000 0.0585  3 Mn 2.38-2.40, 1 Au 2.61
4 As 0.4504 0.0000 0.6840  2 Mn 2.38, 3 Au 2.65-2.66
5 As 0.8099 0.5000 0.0585  3 Mn 2.38-2.40, 1 Au 2.61
6 As 0.9504 0.5000 0.6840  2 Mn 2.38, 3 Au 2.65-2.66
7 Au 0.1472 0.5000 0.4593  4 As 2.61-2.66, 2 Mn 2.92
8 Au 0.6472 0.0000 0.4593  4 As 2.61-2.66, 2 Mn 2.92

---

4.
Below is an optimized crystal structure of Mn2AsAu, with properties calculated at the PBE level.

Output
E (eV/atom): -6.48
Crystal system: tetragonal

Cell lengths 2.7978, 2.7978, 8.0990 Å; angles 90.00, 90.00, 90.00 degrees
Last column: nearest neighbours and their distance in Å.
Element x y z (fractional)
1 Mn 0.0000 0.0000 0.0000  8 Mn 2.52-2.80, 4 Au 2.79
2 Mn 0.5000 0.5000 0.1933  8 Mn 2.52-2.80, 4 As 2.59
3 As 0.0000 0.0000 0.3989  4 Mn 2.59, 4 As 2.80
4 Au 0.5000 0.5000 0.7568  4 Mn 2.79, 4 Au 2.80

---

5.
Below is an optimized crystal structure of MnAs2Au, with properties calculated at the PBE level.

Output
Crystal system: tetragonal
Relative energy among the computed polymorphs (meV/atom): 85.5

Cell lengths 3.3743, 3.3743, 6.0266 Å; angles 90.00, 90.00, 90.00 degrees
Last column: nearest neighbours and their distance in Å.
Element x y z (fractional)
1 Mn 0.0000 0.0000 0.0000  8 As 2.73, 2 Au 3.01
2 As 0.5000 0.5000 0.2200  1 As 2.65, 4 Mn 2.73, 4 Au 2.92
3 As 0.5000 0.5000 0.7800  1 As 2.65, 4 Mn 2.73, 4 Au 2.92
4 Au 0.0000 0.0000 0.5000  8 As 2.92, 2 Mn 3.01

---

6.
Below is an optimized crystal structure of MnAs2Au, with properties calculated at the PBE level.

Output
Crystal system: tetragonal
Relative energy among the computed polymorphs (meV/atom): 91.4

Cell lengths 4.6194, 4.6194, 15.0048 Å; angles 90.00, 90.00, 90.00 degrees
Last column: nearest neighbours and their distance in Å.
Element x y z (fractional)
1 Mn 0.0000 0.0000 0.0000  4 As 2.41
2 Mn 0.0000 0.5000 0.2500  4 As 2.41
3 Mn 0.5000 0.0000 0.7500  4 As 2.41
4 Mn 0.5000 0.5000 0.5000  4 As 2.41
5 As 0.2119 0.2500 0.1250  2 Mn 2.41, 2 Au 2.57
6 As 0.2500 0.7119 0.3750  2 Mn 2.41, 2 Au 2.57
7 As 0.2500 0.7881 0.8750  2 Mn 2.41, 2 Au 2.57
8 As 0.2881 0.2500 0.6250  2 Mn 2.41, 2 Au 2.57
9 As 0.7119 0.7500 0.6250  2 Mn 2.41, 2 Au 2.57
10 As 0.7500 0.2119 0.8750  2 Mn 2.41, 2 Au 2.57
11 As 0.7500 0.2881 0.3750  2 Mn 2.41, 2 Au 2.57
12 As 0.7881 0.7500 0.1250  2 Mn 2.41, 2 Au 2.57
13 Au 0.0000 0.0000 0.5000  4 As 2.57
14 Au 0.0000 0.5000 0.7500  4 As 2.57
15 Au 0.5000 0.0000 0.2500  4 As 2.57
16 Au 0.5000 0.5000 0.0000  4 As 2.57

---

Number 1: M_tot 7.5 μB/cell, Fermi-level density of states 0.4367 states/eV/atom. Number 2: M_tot 31.5 μB/cell, Fermi-level density of states 0.5426 states/eV/atom. Number 3: M_tot 0.0 μB/cell, Fermi-level density of states 0.0890 states/eV/atom. Number 4: M_tot 1.7 μB/cell, Fermi-level density of states 0.4997 states/eV/atom. Number 5: M_tot 2.9 μB/cell, Fermi-level density of states 0.6049 states/eV/atom. Number 6: M_tot 12.4 μB/cell, Fermi-level density of states 0.5525 states/eV/atom.